Record 1
Cd3InSn2 after structural relaxation, computed with PBE.

## Properties
formation enthalpy at 0 K: 0.05 eV/atom
space-group type: Cmmm (65)
ρ: 7.53 Mg/m³

Cell: 4.851 13.486 4.650 Å, 90.00 90.00 90.00°
Element x y z (fractional)
Cd: 0.000 0.000 0.000
Cd: 0.000 0.336 0.000
Cd: 0.000 0.664 0.000
Cd: 0.500 0.164 0.000
Cd: 0.500 0.500 0.000
Cd: 0.500 0.836 0.000
In: 0.000 0.500 0.500
In: 0.500 0.000 0.500
Sn: 0.000 0.167 0.500
Sn: 0.000 0.833 0.500
Sn: 0.500 0.333 0.500
Sn: 0.500 0.667 0.500



Record 2
Cd8In4Sn after structural relaxation, computed with PBE.

## Properties
formation enthalpy at 0 K: 0.04 eV/atom
space-group type: Cm (8)
ρ: 7.54 Mg/m³

Cell: 5.737 5.737 18.741 Å, 94.95 94.95 31.96°
Element x y z (fractional)
Cd: 0.000 0.000 0.000
Cd: 0.002 0.002 0.687
Cd: 0.268 0.268 0.621
Cd: 0.310 0.310 0.083
Cd: 0.385 0.385 0.243
Cd: 0.689 0.689 0.310
Cd: 0.733 0.733 0.760
Cd: 0.992 0.992 0.382
In: 0.082 0.082 0.162
In: 0.236 0.236 0.919
In: 0.518 0.518 0.538
In: 0.766 0.766 0.471
Sn: 0.482 0.482 0.840



Record 3
Cd4In9Sn2 after structural relaxation, computed with PBE.

## Properties
formation enthalpy at 0 K: 0.07 eV/atom
space-group type: P-3m1 (164)
ρ: 6.89 Mg/m³

Cell: 4.991 4.991 19.231 Å, 90.00 90.00 120.00°
Element x y z (fractional)
Cd: 0.333 0.667 0.170
Cd: 0.333 0.667 0.436
Cd: 0.667 0.333 0.564
Cd: 0.667 0.333 0.830
In: 0.000 0.000 0.101
In: 0.000 0.000 0.299
In: 0.000 0.000 0.500
In: 0.000 0.000 0.701
In: 0.000 0.000 0.899
In: 0.333 0.667 0.617
In: 0.333 0.667 0.970
In: 0.667 0.333 0.030
In: 0.667 0.333 0.383
Sn: 0.333 0.667 0.782
Sn: 0.667 0.333 0.218



Record 4
Sr2Cd3In4Sn after structural relaxation, computed with PBE.

## Properties
formation enthalpy at 0 K: -0.28 eV/atom
space-group type: P-4m2 (115)
ρ: 6.29 Mg/m³

Cell: 4.770 4.770 12.648 Å, 90.00 90.00 90.00°
Element x y z (fractional)
Sr: 0.000 0.500 0.249
Sr: 0.500 0.000 0.751
Cd: 0.000 0.500 0.861
Cd: 0.500 0.000 0.139
Cd: 0.500 0.500 0.500
In: 0.000 0.000 0.000
In: 0.000 0.500 0.642
In: 0.500 0.000 0.358
In: 0.500 0.500 0.000
Sn: 0.000 0.000 0.500